Record 1
Below is a relaxed structure of ScP2, with properties calculated at the GGA-PBEsol level.

a = 8.969 Å, b = 4.410 Å, c = 4.923 Å
α = 90.00°, β = 105.58°, γ = 90.00°
Space group C2/m (No. 12)
One atom of each set of equivalent atoms:
Sc 0.121 0.000 0.312 (multiplicity 4)
P 0.000 0.500 0.000 (multiplicity 2)
P 0.000 0.500 0.500 (multiplicity 2)
P 0.227 0.000 0.869 (multiplicity 4)

Results
The calculation puts the density of states at the Fermi level at 0.311 states/eV/atom. Its total energy is -6.853 eV per atom.

***

Record 2
Below is a relaxed structure of Sc2PSe, with properties calculated at the GGA-PBEsol level.

a = 3.6902 Å, b = 3.6902 Å, c = 19.4085 Å
α = 90.00°, β = 90.00°, γ = 120.00°
Space group R3m (No. 160, hexagonal axes)
One atom of each set of equivalent atoms:
Sc 0.0000 0.0000 0.0000 (multiplicity 3)
Sc 0.0000 0.0000 0.1843 (multiplicity 3)
P 0.0000 0.0000 0.5903 (multiplicity 3)
Se 0.0000 0.0000 0.7599 (multiplicity 3)

Results
The calculation puts the density of states at the Fermi level at 0.503 states/eV/atom. The calculation puts the energy above the most stable polymorph in this dataset at 0.057 eV per atom.

***

Record 3
Below is a relaxed structure of ScPSe2, with properties calculated at the GGA-PBEsol level.

a = 3.357 Å, b = 3.357 Å, c = 6.398 Å
α = 90.00°, β = 90.00°, γ = 90.00°
Space group P4/mmm (No. 123)
One atom of each set of equivalent atoms:
Sc 0.000 0.000 0.000 (multiplicity 1)
P 0.000 0.000 0.500 (multiplicity 1)
Se 0.500 0.500 0.227 (multiplicity 2)

Results
The calculation puts the density of states at the Fermi level at 0.517 states/eV/atom. Its total energy is -5.528 eV per atom.

***

Record 4
Below is a relaxed structure of ScP2Se, with properties calculated at the GGA-PBEsol level.

a = 3.781 Å, b = 3.765 Å, c = 9.770 Å
α = 90.00°, β = 90.00°, γ = 90.00°
Space group Amm2 (No. 38)
One atom of each set of equivalent atoms:
Sc 0.000 0.000 0.000 (multiplicity 2)
P 0.500 0.000 0.205 (multiplicity 2)
P 0.500 0.000 0.427 (multiplicity 2)
Se 0.000 0.000 0.709 (multiplicity 2)

Results
The calculation puts the density of states at the Fermi level at 0.197 states/eV/atom. Its total energy is -6.260 eV per atom.

***

Record 5
Below is a relaxed structure of Sc2PSe, with properties calculated at the GGA-PBEsol level.

a = 3.312 Å, b = 3.401 Å, c = 6.631 Å
α = 90.00°, β = 101.59°, γ = 90.00°
Space group P2/m (No. 10)
One atom of each set of equivalent atoms:
Sc 0.068 0.000 0.265 (multiplicity 2)
P 0.500 0.500 0.500 (multiplicity 1)
Se 0.500 0.500 0.000 (multiplicity 1)

Results
The calculation puts the density of states at the Fermi level at 0.494 states/eV/atom. The calculation puts the energy above the most stable polymorph in this dataset at 0.431 eV per atom.

***

Record 6
Below is a relaxed structure of ScPSe2, with properties calculated at the GGA-PBEsol level.

a = 3.439 Å, b = 3.439 Å, c = 6.365 Å
α = 90.00°, β = 90.00°, γ = 90.00°
Space group P4mm (No. 99)
One atom of each set of equivalent atoms:
Sc 0.000 0.000 0.000 (multiplicity 1)
P 0.500 0.500 0.808 (multiplicity 1)
Se 0.000 0.000 0.561 (multiplicity 1)
Se 0.500 0.500 0.202 (multiplicity 1)

Results
The calculation puts the density of states at the Fermi level at 0.608 states/eV/atom. Its total energy is -5.627 eV per atom.

***

Record 7
Below is a relaxed structure of Sc2PSe, with properties calculated at the GGA-PBEsol level.

a = 3.761 Å, b = 3.761 Å, c = 5.304 Å
α = 90.00°, β = 90.00°, γ = 90.00°
Space group P4/mmm (No. 123)
One atom of each set of equivalent atoms:
Sc 0.000 0.000 0.000 (multiplicity 1)
Sc 0.500 0.500 0.500 (multiplicity 1)
P 0.000 0.000 0.500 (multiplicity 1)
Se 0.500 0.500 0.000 (multiplicity 1)

Results
The calculation puts the density of states at the Fermi level at 0.360 states/eV/atom. The calculation puts the energy above the most stable polymorph in this dataset at 0.042 eV per atom.

***

Record 8
Below is a relaxed structure of Sc2PSe, with properties calculated at the GGA-PBEsol level.

a = 3.7434 Å, b = 3.7434 Å, c = 18.6892 Å
α = 90.00°, β = 90.00°, γ = 120.00°
Space group R-3m (No. 166, hexagonal axes)
One atom of each set of equivalent atoms:
Sc 0.0000 0.0000 0.2425 (multiplicity 6)
P 0.0000 0.0000 0.5000 (multiplicity 3)
Se 0.0000 0.0000 0.0000 (multiplicity 3)

Results
The calculation puts the density of states at the Fermi level at 0.360 states/eV/atom. The calculation puts the energy above the most stable polymorph in this dataset at 0.000 eV per atom.

***

Record 9
Below is a relaxed structure of ScP2Se, with properties calculated at the GGA-PBEsol level.

a = 3.742 Å, b = 3.421 Å, c = 5.725 Å
α = 90.00°, β = 105.85°, γ = 90.00°
Space group P2/m (No. 10)
One atom of each set of equivalent atoms:
Sc 0.000 0.000 0.000 (multiplicity 1)
P 0.427 0.500 0.797 (multiplicity 2)
Se 0.000 0.000 0.500 (multiplicity 1)

Results
The calculation puts the density of states at the Fermi level at 0.441 states/eV/atom. Its total energy is -6.070 eV per atom.

***

Record 10
Below is a relaxed structure of ScPSe2, with properties calculated at the GGA-PBEsol level.

a = 3.681 Å, b = 3.951 Å, c = 12.465 Å
α = 90.00°, β = 90.00°, γ = 90.00°
Space group Immm (No. 71)
One atom of each set of equivalent atoms:
Sc 0.000 0.000 0.000 (multiplicity 2)
P 0.000 0.000 0.500 (multiplicity 2)
Se 0.000 0.500 0.148 (multiplicity 4)

Results
The calculation puts the density of states at the Fermi level at 0.084 states/eV/atom. Its total energy is -5.803 eV per atom.

***

Record 11
Below is a relaxed structure of Sc2Si2P, with properties calculated at the GGA-PBEsol level.

a = 6.835 Å, b = 6.835 Å, c = 3.900 Å
α = 90.00°, β = 90.00°, γ = 90.00°
Space group P4/mbm (No. 127)
One atom of each set of equivalent atoms:
Sc 0.179 0.321 0.000 (multiplicity 4)
Si 0.119 0.619 0.500 (multiplicity 4)
P 0.000 0.000 0.000 (multiplicity 2)

Results
The calculation puts the density of states at the Fermi level at 0.405 states/eV/atom. Its total energy is -6.756 eV per atom.

***

Record 12
Below is a relaxed structure of ScSi2P, with properties calculated at the GGA-PBEsol level.

a = 3.392 Å, b = 3.392 Å, c = 5.394 Å
α = 90.00°, β = 90.00°, γ = 90.00°
Space group P4/mmm (No. 123)
One atom of each set of equivalent atoms:
Sc 0.000 0.000 0.000 (multiplicity 1)
Si 0.500 0.500 0.281 (multiplicity 2)
P 0.000 0.000 0.500 (multiplicity 1)

Results
The calculation puts the density of states at the Fermi level at 0.447 states/eV/atom. Its total energy is -6.255 eV per atom.

***

What did the twelfth record say?
Below is a relaxed structure of ScSi2P, with properties calculated at the GGA-PBEsol level.

a = 3.392 Å, b = 3.392 Å, c = 5.394 Å
α = 90.00°, β = 90.00°, γ = 90.00°
Space group P4/mmm (No. 123)
One atom of each set of equivalent atoms:
Sc 0.000 0.000 0.000 (multiplicity 1)
Si 0.500 0.500 0.281 (multiplicity 2)
P 0.000 0.000 0.500 (multiplicity 1)

Results
The calculation puts the density of states at the Fermi level at 0.447 states/eV/atom. Its total energy is -6.255 eV per atom.

***

Copy entry 8 word for word.
Below is a relaxed structure of Sc2PSe, with properties calculated at the GGA-PBEsol level.

a = 3.7434 Å, b = 3.7434 Å, c = 18.6892 Å
α = 90.00°, β = 90.00°, γ = 120.00°
Space group R-3m (No. 166, hexagonal axes)
One atom of each set of equivalent atoms:
Sc 0.0000 0.0000 0.2425 (multiplicity 6)
P 0.0000 0.0000 0.5000 (multiplicity 3)
Se 0.0000 0.0000 0.0000 (multiplicity 3)

Results
The calculation puts the density of states at the Fermi level at 0.360 states/eV/atom. The calculation puts the energy above the most stable polymorph in this dataset at 0.000 eV per atom.